# ErBeRu

ErBeRu after structural relaxation (PBE, Alexandria via LeMat-Bulk).

Unit cell a=3.2068 b=3.2068 c=5.2365 alpha=107.83 beta=107.83 gamma=90.00
Closest atoms and distances in Å follow each position.
Atoms (fractional coordinates):
Ru: 0.2920 0.2920 0.5839  4 Be 2.39
Er: 0.9967 0.9967 0.9934  1 Be 2.69, 5 Ru 2.79-2.98
Be: 0.7113 0.7113 0.4226  4 Ru 2.39

Output
N(E_F), states/eV/atom: 0.614
Energy of formation from the pure elements, meV per atom: -276
Volume, A^3/atom: 16.18